Version i
The following is a GGA-PBE calculation of a relaxed Ac3LaMg crystal, from Alexandria via LeMat-Bulk.

Properties
density of states at the Fermi level	7.6	states/eV/f.u.

Unit cell a=5.4276 b=26.6685 c=5.4002 alpha=90.00 beta=90.00 gamma=90.00
Space group Cmcm (No. 63)
Symmetry-distinct sites (fractional):
1 Ac 0.0000 0.0532 0.2500 (multiplicity 4)
2 Ac 0.0000 0.2502 0.2500 (multiplicity 4)
3 Ac 0.0000 0.4460 0.2500 (multiplicity 4)
4 La 0.0000 0.3470 0.7500 (multiplicity 4)
5 Mg 0.0000 0.1539 0.7500 (multiplicity 4)



Version ii
The following is a GGA-PBE calculation of a relaxed Ac3LaMg crystal, from Alexandria via LeMat-Bulk.

Properties
density of states at the Fermi level	6.7	states/eV/f.u.

Unit cell a=4.0546 b=10.4341 c=10.2677 alpha=90.00 beta=101.38 gamma=90.00
Space group P2_1/m (No. 11)
Symmetry-distinct sites (fractional):
1 Ac 0.0987 0.0076 0.1957 (multiplicity 4)
2 Ac 0.2956 0.2500 0.5945 (multiplicity 2)
3 La 0.4898 0.2500 0.9773 (multiplicity 2)
4 Mg 0.3407 0.7500 0.6799 (multiplicity 2)



Most stable structure: version i



Version i
The following is a GGA-PBE calculation of a relaxed AcLa4Mg crystal, from Alexandria via LeMat-Bulk.

Properties
density of states at the Fermi level	8.3	states/eV/f.u.

Unit cell a=3.8502 b=3.8502 c=14.7261 alpha=90.00 beta=90.00 gamma=90.00
Space group P4/mmm (No. 123)
Symmetry-distinct sites (fractional):
1 Ac 0.0000 0.0000 0.0000 (multiplicity 1)
2 La 0.0000 0.0000 0.3572 (multiplicity 2)
3 La 0.5000 0.5000 0.1877 (multiplicity 2)
4 Mg 0.5000 0.5000 0.5000 (multiplicity 1)



Version ii
The following is a GGA-PBE calculation of a relaxed AcLa4Mg crystal, from Alexandria via LeMat-Bulk.

Properties
density of states at the Fermi level	9.8	states/eV/f.u.

Unit cell a=6.0718 b=7.1880 c=10.0101 alpha=90.00 beta=92.11 gamma=90.00
Space group P2_1/m (No. 11)
Symmetry-distinct sites (fractional):
1 Ac 0.1907 0.2500 0.0865 (multiplicity 2)
2 La 0.2266 0.7500 0.4202 (multiplicity 2)
3 La 0.2674 0.5005 0.7354 (multiplicity 4)
4 La 0.3224 0.7500 0.0799 (multiplicity 2)
5 Mg 0.2599 0.2500 0.4247 (multiplicity 2)



Most stable structure: version i